# 1
A relaxed LiCeCd2Au4 crystal. Source: Alexandria via LeMat-Bulk, functional PBE.

Computed properties:
The value obtained for the energy relative to the elements is -44.8 kJ per mole of atoms. As for the space group: R-3m (166). The energy is -3.31 eV per atom.

abc: 4.808 4.808 8.640
angles: 73.85 73.85 60.00
Positions (direct):
Au1 0.610 0.610 0.169
Au2 0.872 0.872 0.384
Au3 0.390 0.390 0.831
Au4 0.128 0.128 0.616
Cd1 0.246 0.246 0.262
Cd2 0.754 0.754 0.738
Li1 0.500 0.500 0.500
Ce1 0.000 0.000 0.000

# 2
A relaxed TaPd3N crystal. Source: Alexandria via LeMat-Bulk, functional PBE.

Computed properties:
As for the space group: Pm-3m (221). As for the raw formation energy: 486 meV per atom. The energy is -6.66 eV per atom.

abc: 4.182 4.182 4.182
angles: 90.00 90.00 90.00
Positions (direct):
Pd1 0.000 0.000 0.500
Pd2 0.000 0.500 0.000
Pd3 0.500 0.000 0.000
Ta1 0.500 0.500 0.500
N1 0.000 0.000 0.000

Copy entry 1 word for word.
A relaxed LiCeCd2Au4 crystal. Source: Alexandria via LeMat-Bulk, functional PBE.

Computed properties:
The value obtained for the energy relative to the elements is -44.8 kJ per mole of atoms. As for the space group: R-3m (166). The energy is -3.31 eV per atom.

abc: 4.808 4.808 8.640
angles: 73.85 73.85 60.00
Positions (direct):
Au1 0.610 0.610 0.169
Au2 0.872 0.872 0.384
Au3 0.390 0.390 0.831
Au4 0.128 0.128 0.616
Cd1 0.246 0.246 0.262
Cd2 0.754 0.754 0.738
Li1 0.500 0.500 0.500
Ce1 0.000 0.000 0.000